(1)
# TbDyHoEr3 GGA-PBE optimized geometry
data_TbDyHoEr3
_symmetry_space_group_name_H-M 'C 1 2/m 1'
_symmetry_Int_Tables_number 12
_cell_length_a 18.9531
_cell_length_b 5.6304
_cell_length_c 7.0481
_cell_angle_alpha 90.00
_cell_angle_beta 90.06
_cell_angle_gamma 90.00
loop_
_symmetry_equiv_pos_as_xyz
'x,y,z'
'-x,-y,-z'
'-x,y,-z'
'x,-y,z'
'x+1/2,y+1/2,z'
'-x+1/2,-y+1/2,-z'
'-x+1/2,y+1/2,-z'
'x+1/2,-y+1/2,z'
loop_
_atom_site_label
_atom_site_fract_x
_atom_site_fract_y
_atom_site_fract_z
_atom_site_occupancy
Tb1 0.0477 0.0000 0.2511 1
Dy1 0.1482 0.5000 0.0366 1
Ho1 0.1483 0.5000 0.4623 1
Er1 0.0224 0.5000 0.7491 1
Er2 0.1655 0.0000 0.7485 1
Er3 0.2183 0.0000 0.2502 1
# * crystal system: monoclinic
# * D(E_F): 38.691 states/eV per cell
# * formation enthalpy at 0 K: 0.216 eV per atom
# * total energy: -4.3676 eV/atom


(2)
# Tb2Dy5HoEr GGA-PBE optimized geometry
data_Tb2Dy5HoEr
_symmetry_space_group_name_H-M 'C m c 21'
_symmetry_Int_Tables_number 36
_cell_length_a 5.5575
_cell_length_b 19.7759
_cell_length_c 10.5200
_cell_angle_alpha 90.00
_cell_angle_beta 90.00
_cell_angle_gamma 90.00
loop_
_symmetry_equiv_pos_as_xyz
'x,y,z'
'-x,-y,z+1/2'
'-x,y,z'
'x,-y,z+1/2'
'x+1/2,y+1/2,z'
'-x+1/2,-y+1/2,z+1/2'
'-x+1/2,y+1/2,z'
'x+1/2,-y+1/2,z+1/2'
loop_
_atom_site_label
_atom_site_fract_x
_atom_site_fract_y
_atom_site_fract_z
_atom_site_occupancy
Tb1 0.0000 0.1106 0.0000 1
Tb2 0.0000 0.1138 0.5809 1
Dy1 0.0000 0.0178 0.2859 1
Dy2 0.0000 0.2811 0.5724 1
Dy3 0.0000 0.3002 0.9714 1
Dy4 0.0000 0.3882 0.2857 1
Dy5 0.0000 0.4801 0.0032 1
Ho1 0.0000 0.1998 0.2744 1
Er1 0.0000 0.4121 0.7220 1
# * crystal system: orthorhombic
# * D(E_F): 55.572 states/eV per cell
# * formation enthalpy at 0 K: 0.151 eV per atom
# * total energy: -4.4502 eV/atom


(3)
# TbDy6Ho3Er2 GGA-PBE optimized geometry
data_TbDy6Ho3Er2
_symmetry_space_group_name_H-M 'C 1 2/m 1'
_symmetry_Int_Tables_number 12
_cell_length_a 6.1071
_cell_length_b 10.5662
_cell_length_c 11.6781
_cell_angle_alpha 90.00
_cell_angle_beta 99.97
_cell_angle_gamma 90.00
loop_
_symmetry_equiv_pos_as_xyz
'x,y,z'
'-x,-y,-z'
'-x,y,-z'
'x,-y,z'
'x+1/2,y+1/2,z'
'-x+1/2,-y+1/2,-z'
'-x+1/2,y+1/2,-z'
'x+1/2,-y+1/2,z'
loop_
_atom_site_label
_atom_site_fract_x
_atom_site_fract_y
_atom_site_fract_z
_atom_site_occupancy
Tb1 0.0000 0.0000 0.0000 1
Dy1 0.2494 0.3332 0.7500 1
Dy2 0.2497 0.0000 0.7500 1
Ho1 0.0000 0.1668 0.5000 1
Ho2 0.0000 0.5000 0.5000 1
Er1 0.0000 0.3333 0.0000 1
# * crystal system: monoclinic
# * D(E_F): 31.363 states/eV per cell
# * formation enthalpy at 0 K: 0.018 eV per atom
# * total energy: -4.5742 eV/atom


(4)
# Tb2Dy4HoEr2 GGA-PBE optimized geometry
data_Tb2Dy4HoEr2
_symmetry_space_group_name_H-M 'C 1 2/m 1'
_symmetry_Int_Tables_number 12
_cell_length_a 18.4971
_cell_length_b 3.5614
_cell_length_c 9.4542
_cell_angle_alpha 90.00
_cell_angle_beta 115.75
_cell_angle_gamma 90.00
loop_
_symmetry_equiv_pos_as_xyz
'x,y,z'
'-x,-y,-z'
'-x,y,-z'
'x,-y,z'
'x+1/2,y+1/2,z'
'-x+1/2,-y+1/2,-z'
'-x+1/2,y+1/2,-z'
'x+1/2,-y+1/2,z'
loop_
_atom_site_label
_atom_site_fract_x
_atom_site_fract_y
_atom_site_fract_z
_atom_site_occupancy
Tb1 0.1482 0.0000 0.1669 1
Dy1 0.0185 0.5000 0.8327 1
Dy2 0.1851 0.0000 0.8330 1
Ho1 0.0000 0.0000 0.5000 1
Er1 0.1668 0.5000 0.5003 1
# * crystal system: monoclinic
# * D(E_F): 23.330 states/eV per cell
# * formation enthalpy at 0 K: 0.004 eV per atom
# * total energy: -4.5930 eV/atom


(5)
# Tb2DyHo6Er3 GGA-PBE optimized geometry
data_Tb2DyHo6Er3
_symmetry_space_group_name_H-M 'C 1 2/m 1'
_symmetry_Int_Tables_number 12
_cell_length_a 6.0971
_cell_length_b 10.5475
_cell_length_c 11.6587
_cell_angle_alpha 90.00
_cell_angle_beta 99.98
_cell_angle_gamma 90.00
loop_
_symmetry_equiv_pos_as_xyz
'x,y,z'
'-x,-y,-z'
'-x,y,-z'
'x,-y,z'
'x+1/2,y+1/2,z'
'-x+1/2,-y+1/2,-z'
'-x+1/2,y+1/2,-z'
'x+1/2,-y+1/2,z'
loop_
_atom_site_label
_atom_site_fract_x
_atom_site_fract_y
_atom_site_fract_z
_atom_site_occupancy
Tb1 0.0000 0.1666 0.0000 1
Dy1 0.0000 0.5000 0.0000 1
Ho1 0.2493 0.1666 0.7487 1
Ho2 0.2492 0.5000 0.7486 1
Er1 0.0000 0.0000 0.5000 1
Er2 0.0000 0.3333 0.5000 1
# * crystal system: monoclinic
# * D(E_F): 31.801 states/eV per cell
# * formation enthalpy at 0 K: 0.019 eV per atom
# * total energy: -4.5658 eV/atom


(6)
# Tb6DyHoEr2 GGA-PBE optimized geometry
data_Tb6DyHoEr2
_symmetry_space_group_name_H-M 'C 1 2/c 1'
_symmetry_Int_Tables_number 15
_cell_length_a 9.0163
_cell_length_b 14.9615
_cell_length_c 9.5108
_cell_angle_alpha 90.00
_cell_angle_beta 97.64
_cell_angle_gamma 90.00
loop_
_symmetry_equiv_pos_as_xyz
'x,y,z'
'-x,-y,-z'
'-x,y,-z+1/2'
'x,-y,z+1/2'
'x+1/2,y+1/2,z'
'-x+1/2,-y+1/2,-z'
'-x+1/2,y+1/2,-z+1/2'
'x+1/2,-y+1/2,z+1/2'
loop_
_atom_site_label
_atom_site_fract_x
_atom_site_fract_y
_atom_site_fract_z
_atom_site_occupancy
Tb1 0.0626 0.1844 0.4447 1
Tb2 0.1019 0.3930 0.6202 1
Tb3 0.2072 0.2247 0.8154 1
Dy1 0.0000 0.0243 0.7500 1
Ho1 0.0000 0.4088 0.2500 1
Er1 0.2495 0.0518 0.0445 1
# * crystal system: monoclinic
# * D(E_F): 55.891 states/eV per cell
# * formation enthalpy at 0 K: 0.120 eV per atom
# * total energy: -4.4884 eV/atom